Below is crystalline Ho2TmGa3CuAg2 at its relaxed geometry, with properties calculated at the PBE level.

Lattice parameters (Å, degrees): 3.752 12.901 7.470 90.00 90.00 90.00
Space group Amm2 (No. 38)
Inequivalent atoms, fractional coordinates:
1 Ho 0.000 0.198 0.000
2 Tm 0.000 0.000 0.592
3 Ga 0.500 0.000 0.950
4 Ga 0.500 0.124 0.322
5 Cu 0.000 0.000 0.199
6 Ag 0.500 0.165 0.698

## Properties
Uncorrected energy (eV for the cell shown): -72.50

=====

Below is crystalline Li2InGaCu2Ag2 at its relaxed geometry, with properties calculated at the PBE level.

Lattice parameters (Å, degrees): 4.359 4.359 6.515 90.00 90.00 90.00
Space group P-4m2 (No. 115)
Inequivalent atoms, fractional coordinates:
1 Li 0.000 0.000 0.000
2 Li 0.500 0.500 0.500
3 In 0.000 0.000 0.500
4 Ga 0.500 0.500 0.000
5 Cu 0.000 0.500 0.227
6 Ag 0.000 0.500 0.771

## Properties
Uncorrected energy (eV for the cell shown): -23.97

=====

Below is crystalline Li2La2Ga2CuAg at its relaxed geometry, with properties calculated at the PBE level.

Lattice parameters (Å, degrees): 4.825 4.825 6.895 90.00 90.00 90.00
Space group P-4m2 (No. 115)
Inequivalent atoms, fractional coordinates:
1 Li 0.000 0.000 0.000
2 Li 0.500 0.500 0.500
3 La 0.000 0.500 0.736
4 Ga 0.000 0.500 0.259
5 Cu 0.000 0.000 0.500
6 Ag 0.500 0.500 0.000

## Properties
Uncorrected energy (eV for the cell shown): -28.85

=====

Below is crystalline Li2GaCu2Ag2Sn at its relaxed geometry, with properties calculated at the PBE level.

Lattice parameters (Å, degrees): 4.417 4.417 6.415 90.00 90.00 90.00
Space group P-4m2 (No. 115)
Inequivalent atoms, fractional coordinates:
1 Li 0.000 0.000 0.000
2 Li 0.500 0.500 0.500
3 Ga 0.000 0.000 0.500
4 Cu 0.000 0.500 0.270
5 Ag 0.000 0.500 0.732
6 Sn 0.500 0.500 0.000

## Properties
Uncorrected energy (eV for the cell shown): -25.38

=====

Below is crystalline Li2Y2Ga2CuAg at its relaxed geometry, with properties calculated at the PBE level.

Lattice parameters (Å, degrees): 4.638 4.638 6.616 90.00 90.00 90.00
Space group P-4m2 (No. 115)
Inequivalent atoms, fractional coordinates:
1 Li 0.000 0.000 0.000
2 Li 0.500 0.500 0.500
3 Y 0.000 0.500 0.737
4 Ga 0.000 0.500 0.259
5 Cu 0.000 0.000 0.500
6 Ag 0.500 0.500 0.000

## Properties
Uncorrected energy (eV for the cell shown): -32.33

=====

Below is crystalline Na2Ga4CuAg at its relaxed geometry, with properties calculated at the PBE level.

Lattice parameters (Å, degrees): 7.203 4.302 9.772 90.00 90.00 90.00
Space group Amm2 (No. 38)
Inequivalent atoms, fractional coordinates:
1 Na 0.000 0.000 0.000
2 Na 0.500 0.000 0.136
3 Ga 0.182 0.000 0.708
4 Ga 0.293 0.000 0.426
5 Cu 0.000 0.000 0.284
6 Ag 0.500 0.000 0.849

## Properties
Uncorrected energy (eV for the cell shown): -44.19

=====

Below is crystalline NdGa2CuAg at its relaxed geometry, with properties calculated at the PBE level.

Lattice parameters (Å, degrees): 4.287 4.287 10.477 90.00 90.00 90.00
Space group P4/nmm (No. 129, origin choice 2)
Inequivalent atoms, fractional coordinates:
1 Nd 0.250 0.250 0.237
2 Ga 0.250 0.250 0.653
3 Ga 0.250 0.750 0.000
4 Cu 0.250 0.250 0.880
5 Ag 0.250 0.750 0.500

## Properties
Uncorrected energy (eV for the cell shown): -39.02

=====

Below is crystalline GaCuNiAg at its relaxed geometry, with properties calculated at the PBE level.

Lattice parameters (Å, degrees): 6.063 6.063 6.063 90.00 90.00 90.00
Space group F-43m (No. 216)
Inequivalent atoms, fractional coordinates:
1 Ga 0.000 0.000 0.000
2 Cu 0.250 0.250 0.250
3 Ni 0.000 0.000 0.500
4 Ag 0.250 0.250 0.750

## Properties
Polymorph energy (0 for the lowest one) (eV per formula unit): 0.30

=====

Below is crystalline GaCuNiAg at its relaxed geometry, with properties calculated at the PBE level.

Lattice parameters (Å, degrees): 6.042 6.042 6.042 90.00 90.00 90.00
Space group F-43m (No. 216)
Inequivalent atoms, fractional coordinates:
1 Ga 0.000 0.000 0.000
2 Cu 0.250 0.250 0.250
3 Ni 0.250 0.250 0.750
4 Ag 0.000 0.000 0.500

## Properties
Polymorph energy (0 for the lowest one) (eV per formula unit): 0.00

=====

Below is crystalline GaCuAgOs at its relaxed geometry, with properties calculated at the PBE level.

Lattice parameters (Å, degrees): 6.188 6.188 6.188 90.00 90.00 90.00
Space group F-43m (No. 216)
Inequivalent atoms, fractional coordinates:
1 Ga 0.000 0.000 0.000
2 Cu 0.250 0.250 0.250
3 Ag 0.000 0.000 0.500
4 Os 0.250 0.250 0.750

## Properties
Polymorph energy (0 for the lowest one) (eV per formula unit): 0.00

=====

Below is crystalline GaCuAgPd at its relaxed geometry, with properties calculated at the PBE level.

Lattice parameters (Å, degrees): 6.239 6.239 6.239 90.00 90.00 90.00
Space group F-43m (No. 216)
Inequivalent atoms, fractional coordinates:
1 Ga 0.000 0.000 0.000
2 Cu 0.250 0.250 0.250
3 Ag 0.000 0.000 0.500
4 Pd 0.250 0.250 0.750

## Properties
Polymorph energy (0 for the lowest one) (eV per formula unit): 0.00

=====

Below is crystalline GaCu2AgS4 at its relaxed geometry, with properties calculated at the PBE level.

Lattice parameters (Å, degrees): 7.644 6.490 6.360 90.00 90.00 90.00
Space group Pmn2_1 (No. 31)
Inequivalent atoms, fractional coordinates:
1 Ga 0.000 0.178 0.000
2 Cu 0.250 0.333 0.500
3 Ag 0.000 0.838 0.491
4 S 0.000 0.195 0.636
5 S 0.000 0.834 0.100
6 S 0.238 0.344 0.141

## Properties
Uncorrected energy (eV for the cell shown): -64.59

=====

Below is crystalline TbTm2Ga3CuAg2 at its relaxed geometry, with properties calculated at the PBE level.

Lattice parameters (Å, degrees): 3.756 12.953 7.435 90.00 90.00 90.00
Space group Amm2 (No. 38)
Inequivalent atoms, fractional coordinates:
1 Tb 0.000 0.000 0.000
2 Tm 0.000 0.197 0.595
3 Ga 0.500 0.000 0.645
4 Ga 0.500 0.124 0.275
5 Cu 0.000 0.000 0.400
6 Ag 0.500 0.169 0.897

## Properties
Uncorrected energy (eV for the cell shown): -72.36

=====

Below is crystalline Tm2Ga2CuAg at its relaxed geometry, with properties calculated at the PBE level.

Lattice parameters (Å, degrees): 4.4585 4.4585 6.8998 90.00 90.00 120.00
Space group P3m1 (No. 156)
Inequivalent atoms, fractional coordinates:
1 Tm 0.0000 0.0000 0.0000
2 Tm 0.0000 0.0000 0.4871
3 Ga 0.3333 0.6667 0.2671
4 Ga 0.3333 0.6667 0.7113
5 Cu 0.6667 0.3333 0.2344
6 Ag 0.6667 0.3333 0.7572

## Properties
Uncorrected energy (eV for the cell shown): -24.48

=====

Below is crystalline YGaCuAg at its relaxed geometry, with properties calculated at the PBE level.

Lattice parameters (Å, degrees): 6.710 6.710 6.710 90.00 90.00 90.00
Space group F-43m (No. 216)
Inequivalent atoms, fractional coordinates:
1 Y 0.000 0.000 0.000
2 Ga 0.250 0.250 0.250
3 Cu 0.000 0.000 0.500
4 Ag 0.250 0.250 0.750

## Properties
Polymorph energy (0 for the lowest one) (eV per formula unit): 0.25

=====

Below is crystalline YGaCuAg at its relaxed geometry, with properties calculated at the PBE level.

Lattice parameters (Å, degrees): 6.673 6.673 6.673 90.00 90.00 90.00
Space group F-43m (No. 216)
Inequivalent atoms, fractional coordinates:
1 Y 0.000 0.000 0.000
2 Ga 0.000 0.000 0.500
3 Cu 0.250 0.250 0.750
4 Ag 0.250 0.250 0.250

## Properties
Polymorph energy (0 for the lowest one) (eV per formula unit): 0.00

=====

Below is crystalline Gd2CuAg3 at its relaxed geometry, with properties calculated at the PBE level.

Lattice parameters (Å, degrees): 3.721 3.721 9.206 90.00 90.00 90.00
Space group P4mm (No. 99)
Inequivalent atoms, fractional coordinates:
1 Gd 0.000 0.000 0.000
2 Gd 0.500 0.500 0.486
3 Cu 0.500 0.500 0.158
4 Ag 0.000 0.000 0.317
5 Ag 0.000 0.000 0.664
6 Ag 0.500 0.500 0.824

## Properties
Energy of formation from the pure elements (meV/atom): -260

=====

Below is crystalline GdCuAg at its relaxed geometry, with properties calculated at the PBE level.

Lattice parameters (Å, degrees): 6.472 6.472 6.472 90.00 90.00 90.00
Space group F-43m (No. 216)
Inequivalent atoms, fractional coordinates:
1 Gd 0.000 0.000 0.000
2 Cu 0.250 0.250 0.750
3 Ag 0.000 0.000 0.500

## Properties
Energy of formation from the pure elements (meV/atom): -101

=====

Below is crystalline GdCuAgSe3 at its relaxed geometry, with properties calculated at the PBE level.

Lattice parameters (Å, degrees): 3.995 13.358 10.556 90.00 90.00 90.00
Space group Cmcm (No. 63)
Inequivalent atoms, fractional coordinates:
1 Gd 0.000 0.000 0.000
2 Cu 0.000 0.483 0.250
3 Ag 0.000 0.174 0.750
4 Se 0.000 0.093 0.250
5 Se 0.000 0.354 0.074

## Properties
Uncorrected energy (eV for the cell shown): -105.01

=====

Below is crystalline GdCuSi2Ag at its relaxed geometry, with properties calculated at the PBE level.

Lattice parameters (Å, degrees): 4.091 4.091 10.365 90.00 90.00 90.00
Space group I-4m2 (No. 119)
Inequivalent atoms, fractional coordinates:
1 Gd 0.000 0.000 0.000
2 Cu 0.000 0.500 0.250
3 Si 0.000 0.000 0.388
4 Ag 0.000 0.500 0.750

## Properties
Uncorrected energy (eV for the cell shown): -48.84

=====

Below is crystalline Gd2CuAgSn2 at its relaxed geometry, with properties calculated at the PBE level.

Lattice parameters (Å, degrees): 4.6718 4.6718 7.3912 90.00 90.00 120.00
Space group P3m1 (No. 156)
Inequivalent atoms, fractional coordinates:
1 Gd 0.0000 0.0000 0.0000
2 Gd 0.0000 0.0000 0.4933
3 Cu 0.3333 0.6667 0.3119
4 Ag 0.6667 0.3333 0.8082
5 Sn 0.3333 0.6667 0.7131
6 Sn 0.6667 0.3333 0.2295

## Properties
Uncorrected energy (eV for the cell shown): -27.48

=====

Below is crystalline CuAgGe2 at its relaxed geometry, with properties calculated at the PBE level.

Lattice parameters (Å, degrees): 6.494 6.494 6.494 90.00 90.00 90.00
Space group F-43m (No. 216)
Inequivalent atoms, fractional coordinates:
1 Cu 0.000 0.000 0.000
2 Ag 0.250 0.250 0.750
3 Ge 0.000 0.000 0.500
4 Ge 0.250 0.250 0.250

## Properties
Uncorrected energy (eV for the cell shown): -58.30

=====

Below is crystalline CuAgHgGe at its relaxed geometry, with properties calculated at the PBE level.

Lattice parameters (Å, degrees): 6.602 6.602 6.602 90.00 90.00 90.00
Space group F-43m (No. 216)
Inequivalent atoms, fractional coordinates:
1 Cu 0.000 0.000 0.000
2 Ag 0.000 0.000 0.500
3 Hg 0.250 0.250 0.250
4 Ge 0.250 0.250 0.750

## Properties
Polymorph energy (0 for the lowest one) (eV per formula unit): 0.00

=====

Below is crystalline CuAgGeIr at its relaxed geometry, with properties calculated at the PBE level.

Lattice parameters (Å, degrees): 6.215 6.215 6.215 90.00 90.00 90.00
Space group F-43m (No. 216)
Inequivalent atoms, fractional coordinates:
1 Cu 0.000 0.000 0.000
2 Ag 0.250 0.250 0.250
3 Ge 0.250 0.250 0.750
4 Ir 0.000 0.000 0.500

## Properties
Polymorph energy (0 for the lowest one) (eV per formula unit): 0.00

=====

Below is crystalline LiCuAgGe at its relaxed geometry, with properties calculated at the PBE level.

Lattice parameters (Å, degrees): 6.176 6.176 6.176 90.00 90.00 90.00
Space group F-43m (No. 216)
Inequivalent atoms, fractional coordinates:
1 Li 0.000 0.000 0.000
2 Cu 0.250 0.250 0.750
3 Ag 0.250 0.250 0.250
4 Ge 0.000 0.000 0.500

## Properties
Polymorph energy (0 for the lowest one) (eV per formula unit): 0.00

=====

Below is crystalline LiCuAgGe at its relaxed geometry, with properties calculated at the PBE level.

Lattice parameters (Å, degrees): 6.176 6.176 6.176 90.00 90.00 90.00
Space group F-43m (No. 216)
Inequivalent atoms, fractional coordinates:
1 Li 0.000 0.000 0.000
2 Cu 0.000 0.000 0.500
3 Ag 0.250 0.250 0.750
4 Ge 0.250 0.250 0.250

## Properties
Polymorph energy (0 for the lowest one) (eV per formula unit): 0.05

=====

Below is crystalline Na4CuAgGe2 at its relaxed geometry, with properties calculated at the PBE level.

Lattice parameters (Å, degrees): 4.772 4.772 6.821 90.00 90.00 90.00
Space group P-4m2 (No. 115)
Inequivalent atoms, fractional coordinates:
1 Na 0.000 0.000 0.000
2 Na 0.000 0.500 0.743
3 Na 0.500 0.500 0.500
4 Cu 0.000 0.000 0.500
5 Ag 0.500 0.500 0.000
6 Ge 0.000 0.500 0.264

## Properties
Uncorrected energy (eV for the cell shown): -20.81